# 1
# GGA-PBE Tm3In, optimized geometry
data_Tm3In
_chemical_formula_sum 'Tm3 In1'
_space_group_name_H-M_alt 'P m m 2'
_space_group_IT_number 25
_cell_length_a 3.4459
_cell_length_b 5.4256
_cell_length_c 5.9882
_cell_angle_alpha 90.00
_cell_angle_beta 90.00
_cell_angle_gamma 90.00
loop_
_space_group_symop_operation_xyz
'x,y,z'
'-x,-y,z'
'-x,y,z'
'x,-y,z'
loop_
_atom_site_label
_atom_site_fract_x
_atom_site_fract_y
_atom_site_fract_z
Tm1 0.0000 0.0000 0.0000
Tm2 0.0000 0.5000 0.3358
Tm3 0.5000 0.0000 0.5043
In1 0.5000 0.5000 0.8199
# Calculated volume: 28.0 A^3/atom
# Density: 9220 kg/m3
# Formation energy: -0.1587 eV per atom

***

# 2
# GGA-PBE Th6Al3Fe, optimized geometry
data_Th6Al3Fe
_chemical_formula_sum 'Th36 Al18 Fe6'
_space_group_name_H-M_alt 'R -3 m'
_space_group_IT_number 166
_space_group_name_Hall '-R 3 2"'
_cell_length_a 11.4207
_cell_length_b 11.4207
_cell_length_c 14.8828
_cell_angle_alpha 90.00
_cell_angle_beta 90.00
_cell_angle_gamma 120.00
loop_
_atom_site_label
_atom_site_fract_x
_atom_site_fract_y
_atom_site_fract_z
Th1 0.1027 0.2054 0.3899
Th2 0.1093 0.2186 0.1058
Al1 0.0541 0.5270 0.4177
Fe1 0.0000 0.0000 0.0000
Fe2 0.0000 0.0000 0.5000
# Calculated volume: 28.0 A^3/atom
# Density: 9062 kg/m3
# Formation energy: -0.0544 eV per atom

***

# 3
# GGA-PBE NdSmHoHg, optimized geometry
data_NdSmHoHg
_chemical_formula_sum 'Nd4 Sm4 Ho4 Hg4'
_space_group_name_H-M_alt 'F -4 3 m'
_space_group_IT_number 216
_space_group_name_Hall 'F -4 2 3'
_cell_length_a 7.7745
_cell_length_b 7.7745
_cell_length_c 7.7745
_cell_angle_alpha 90.00
_cell_angle_beta 90.00
_cell_angle_gamma 90.00
loop_
_atom_site_label
_atom_site_fract_x
_atom_site_fract_y
_atom_site_fract_z
Nd1 0.0000 0.0000 0.0000
Sm1 0.0000 0.0000 0.5000
Ho1 0.2500 0.2500 0.2500
Hg1 0.2500 0.2500 0.7500
# Calculated volume: 29.4 A^3/atom
# Density: 9331 kg/m3
# Formation energy: -0.0720 eV per atom

***

# 4
# GGA-PBE Sm12MgAl3, optimized geometry
data_Sm12MgAl3
_chemical_formula_sum 'Sm12 Mg1 Al3'
_space_group_name_H-M_alt 'P 4/m m m'
_space_group_IT_number 123
_space_group_name_Hall '-P 4 2'
_cell_length_a 4.8822
_cell_length_b 4.8822
_cell_length_c 19.4997
_cell_angle_alpha 90.00
_cell_angle_beta 90.00
_cell_angle_gamma 90.00
loop_
_atom_site_label
_atom_site_fract_x
_atom_site_fract_y
_atom_site_fract_z
Sm1 0.0000 0.0000 0.0000
Sm2 0.0000 0.0000 0.2482
Sm3 0.0000 0.0000 0.5000
Sm4 0.0000 0.5000 0.1242
Sm5 0.0000 0.5000 0.3695
Mg1 0.5000 0.5000 0.5000
Al1 0.5000 0.5000 0.0000
Al2 0.5000 0.5000 0.2475
# Calculated volume: 29.0 A^3/atom
# Density: 6822 kg/m3
# Formation energy: -0.1256 eV per atom

***

> Among the records above, which one has the highest formation energy?

Th6Al3Fe

***

> Which value of calculated volume does entry 2 give?

28.0 A^3/atom